Entry 1:
Density functional theory data (PBE-GGA) for a relaxed structure of Fe2CuN.

Unit cell a=2.732 b=2.732 c=6.528 alpha=77.92 beta=77.92 gamma=60.00
Site moments in Bohr magnetons follow the coordinates.
Fractional positions:
N: 0.666 0.666 0.001  0.00
Fe: 0.057 0.057 0.828  1.57
Fe: 0.276 0.276 0.172  1.52
Cu: 0.500 0.500 0.499  0.07

- SG: R3m, No. 160
- Magnetization: 3.09 μB/f.u.
- Raw formation energy: 0.1195 eV/atom

***

Entry 2:
Density functional theory data (PBE-GGA) for a relaxed structure of Fe2CuNiN.

Unit cell a=3.765 b=3.765 c=3.786 alpha=90.00 beta=90.00 gamma=90.00
Site moments in Bohr magnetons follow the coordinates.
Fractional positions:
Fe: 0.500 0.000 0.000  2.34
N: 0.000 0.000 0.000  0.00
Ni: 0.000 0.000 0.500  0.34
Fe: 0.000 0.500 0.000  2.34
Cu: 0.500 0.500 0.500  0.10

- SG: P4/mmm, No. 123
- Magnetization: 5.03 μB/f.u.
- Raw formation energy: -0.0310 eV/atom
- Distance to the lowest polymorph of the same formula: 0.00 kcal/mol of atoms

***

Entry 3:
Density functional theory data (PBE-GGA) for a relaxed structure of Fe2CuNiN.

Unit cell a=3.765 b=3.765 c=3.845 alpha=90.00 beta=90.00 gamma=90.00
Site moments in Bohr magnetons follow the coordinates.
Fractional positions:
Cu: 0.000 0.000 0.500  0.05
Fe: 0.500 0.000 0.000  2.44
N: 0.000 0.000 0.000  0.02
Ni: 0.500 0.500 0.500  0.68
Fe: 0.000 0.500 0.000  2.44

- SG: P4/mmm, No. 123
- Magnetization: 5.50 μB/f.u.
- Raw formation energy: 0.0928 eV/atom
- Distance to the lowest polymorph of the same formula: 2.85 kcal/mol of atoms

***

The lowest magnetization belongs to which entry?
Fe2CuN